VASP calculation (PBE) on Zr4TlSbN2 after structural relaxation.

Calculated values
M_tot (μB/f.u.): 0.01
Total DFT energy (no corrections) (eV/atom): -8.192

Structure (POSCAR):
```
Zr4TlSbN2
1.0
3.405 0.000 0.000
-1.702 2.949 0.000
0.000 0.000 14.119
Tl Sb N Zr
1 1 2 4
Cartesian
1.702 0.983 7.059
0.000 0.000 0.000
0.000 1.966 10.656
0.000 1.966 3.463
0.000 0.000 4.601
1.702 0.983 11.891
0.000 0.000 9.517
1.702 0.983 2.228
```